Computed, not measured: an optimized crystal structure of NaNdF2 at the PBE level of DFT.

Unit cell a=3.6764 b=3.6764 c=7.2305 alpha=75.27 beta=75.27 gamma=60.00
Closest atoms and distances in Å follow each position.
Sites, in units of the cell vectors:
Na  0.5000  0.5000  0.5000  6 F 2.43
Nd  0.0000  0.0000  0.0000  2 F 2.27
F  0.1097  0.1097  0.6710  1 Nd 2.27, 3 Na 2.43
F  0.8903  0.8903  0.3290  1 Nd 2.27, 3 Na 2.43

Values from the calculation:
Mass density (g cm⁻³): 4.212
Final energy (eV/atom): -5.010
Size of the total moment (μB per atom): 0.000
Space group: R-3m (166)